## Li5GaAg2Hg2 (PBE)

Data for crystalline Li5GaAg2Hg2 at its relaxed geometry.

Summary:
The value obtained for the total magnetization is 0.00 μB/atom. The value obtained for the formation energy from the elements is -0.14 eV/atom. As for the density of states at the Fermi level: 3.7 states/eV per cell. The total energy comes out at -2.04 eV/atom.

CIF file:
```
data_Li5GaAg2Hg2
_chemical_formula_sum 'Li10 Ga2 Ag4 Hg4'
_cell_length_a 9.948
_cell_length_b 9.948
_cell_length_c 3.743
_cell_angle_alpha 90.00
_cell_angle_beta 90.00
_cell_angle_gamma 90.00
_symmetry_space_group_name_H-M 'P 4/m b m'
_symmetry_Int_Tables_number 127
_symmetry_space_group_name_Hall '-P 4 2ab'
loop_
_atom_site_label
_atom_site_type_symbol
_atom_site_fract_x
_atom_site_fract_y
_atom_site_fract_z
_atom_site_occupancy
Li1 Li 0.000 0.500 0.000 1
Li2 Li 0.064 0.189 0.000 1
Ga1 Ga 0.000 0.000 0.500 1
Ag1 Ag 0.166 0.666 0.500 1
Hg1 Hg 0.133 0.367 0.500 1
```


## Ac3Zn4Rh2 (PBE)

Data for crystalline Ac3Zn4Rh2 at its relaxed geometry.

Summary:
The value obtained for the total magnetization is 0.00 μB/atom. The value obtained for the formation energy from the elements is -0.50 eV/atom. As for the density of states at the Fermi level: 10.0 states/eV per cell. The total energy comes out at -4.07 eV/atom.

CIF file:
```
data_Ac3Zn4Rh2
_chemical_formula_sum 'Ac6 Zn8 Rh4'
_cell_length_a 11.756
_cell_length_b 4.377
_cell_length_c 8.925
_cell_angle_alpha 90.00
_cell_angle_beta 107.71
_cell_angle_gamma 90.00
_symmetry_space_group_name_H-M 'C 1 2/m 1'
_symmetry_Int_Tables_number 12
loop_
_symmetry_equiv_pos_as_xyz
'x,y,z'
'-x,-y,-z'
'-x,y,-z'
'x,-y,z'
'x+1/2,y+1/2,z'
'-x+1/2,-y+1/2,-z'
'-x+1/2,y+1/2,-z'
'x+1/2,-y+1/2,z'
loop_
_atom_site_label
_atom_site_type_symbol
_atom_site_fract_x
_atom_site_fract_y
_atom_site_fract_z
_atom_site_occupancy
Ac1 Ac 0.000 0.000 0.000 1
Ac2 Ac 0.181 0.500 0.654 1
Zn1 Zn 0.042 0.000 0.377 1
Zn2 Zn 0.222 0.500 0.056 1
Rh1 Rh 0.113 0.500 0.272 1
```


## YHf2Pd8 (PBE)

Data for crystalline YHf2Pd8 at its relaxed geometry.

Summary:
The value obtained for the total magnetization is 0.00 μB/atom. The value obtained for the formation energy from the elements is -0.76 eV/atom. As for the density of states at the Fermi level: 10.4 states/eV per cell. The total energy comes out at -6.93 eV/atom.

CIF file:
```
data_YHf2Pd8
_chemical_formula_sum 'Y2 Hf4 Pd16'
_cell_length_a 14.553
_cell_length_b 4.104
_cell_length_c 6.684
_cell_angle_alpha 90.00
_cell_angle_beta 108.00
_cell_angle_gamma 90.00
_symmetry_space_group_name_H-M 'C 1 2/m 1'
_symmetry_Int_Tables_number 12
loop_
_symmetry_equiv_pos_as_xyz
'x,y,z'
'-x,-y,-z'
'-x,y,-z'
'x,-y,z'
'x+1/2,y+1/2,z'
'-x+1/2,-y+1/2,-z'
'-x+1/2,y+1/2,-z'
'x+1/2,-y+1/2,z'
loop_
_atom_site_label
_atom_site_type_symbol
_atom_site_fract_x
_atom_site_fract_y
_atom_site_fract_z
_atom_site_occupancy
Y1 Y 0.000 0.000 0.000 1
Hf1 Hf 0.221 0.500 0.667 1
Pd1 Pd 0.042 0.500 0.716 1
Pd2 Pd 0.102 0.000 0.460 1
Pd3 Pd 0.147 0.500 0.204 1
Pd4 Pd 0.182 0.000 0.912 1
```


- The lowest total energy belongs to which entry?
  YHf2Pd8